A plane-wave DFT calculation with PBE with a Hubbard U was carried out for a relaxed structure of NaCr4O8.

Unit cell a=7.0764 b=7.0764 c=9.8148 alpha=133.05 beta=133.05 gamma=24.41
Positions (direct):
Na  0.0000  0.0000  0.0000
Cr  0.1513  0.1513  0.8190
Cr  0.3349  0.3349  0.4847
Cr  0.6651  0.6651  0.5153
Cr  0.8487  0.8487  0.1810
O  0.0412  0.0412  0.3793
O  0.2996  0.2996  0.6463
O  0.3379  0.3379  0.2971
O  0.3482  0.3482  0.0448
O  0.6518  0.6518  0.9552
O  0.6621  0.6621  0.7029
O  0.7004  0.7004  0.3537
O  0.9588  0.9588  0.6207

Total DFT energy (no corrections) in eV per atom: -7.164
Spin magnetization in μB/cell: 9.0
DOS at the Fermi energy in states/eV/f.u.: 2.255